# 1
## La5CuPb3 (GGA-PBEsol)

Data for an optimized crystal structure of La5CuPb3.

Cell lengths 9.6569, 9.6569, 6.8079 Å; angles 90.00, 90.00, 120.00 degrees
Atoms (fractional coordinates):
1 La 0.0000 0.2602 0.2500
2 La 0.0000 0.7398 0.7500
3 La 0.2602 0.0000 0.2500
4 La 0.2602 0.2602 0.7500
5 La 0.3333 0.6667 0.0000
6 La 0.3333 0.6667 0.5000
7 La 0.6667 0.3333 0.0000
8 La 0.6667 0.3333 0.5000
9 La 0.7398 0.0000 0.7500
10 La 0.7398 0.7398 0.2500
11 Cu 0.0000 0.0000 0.0000
12 Cu 0.0000 0.0000 0.5000
13 Pb 0.0000 0.3825 0.7500
14 Pb 0.0000 0.6175 0.2500
15 Pb 0.3825 0.0000 0.7500
16 Pb 0.3825 0.3825 0.2500
17 Pb 0.6175 0.0000 0.2500
18 Pb 0.6175 0.6175 0.7500

Calculated values
energy of formation = -0.50 eV/atom
space-group type = No. 193

***

# 2
## Ba2Mg (GGA-PBEsol)

Data for an optimized crystal structure of Ba2Mg.

Cell lengths 7.5167, 7.5167, 9.4474 Å; angles 108.48, 108.48, 32.61 degrees
Atoms (fractional coordinates):
1 Ba 0.0280 0.0280 0.2125
2 Ba 0.3254 0.3254 0.3631
3 Ba 0.6746 0.6746 0.6369
4 Ba 0.9720 0.9720 0.7875
5 Mg 0.3205 0.3205 0.9601
6 Mg 0.6795 0.6795 0.0399

Calculated values
energy of formation = 0.00 eV/atom
space-group type = No. 12

***

# 3
## YMn2Hg (GGA-PBEsol)

Data for an optimized crystal structure of YMn2Hg.

Cell lengths 5.0102, 5.0102, 5.0102 Å; angles 130.21, 130.21, 73.08 degrees
Atoms (fractional coordinates):
1 Y 0.0000 0.0000 0.0000
2 Mn 0.2500 0.7500 0.5000
3 Mn 0.7500 0.2500 0.5000
4 Hg 0.5000 0.5000 0.0000

Calculated values
energy of formation = 0.28 eV/atom
space-group type = No. 139

***

# 4
## MgSeNF2 (GGA-PBEsol)

Data for an optimized crystal structure of MgSeNF2.

Cell lengths 3.5457, 3.5457, 5.2753 Å; angles 90.00, 90.00, 90.00 degrees
Atoms (fractional coordinates):
1 Mg 0.0000 0.0000 0.0000
2 Se 0.5000 0.5000 0.5000
3 N 0.0000 0.0000 0.5000
4 F 0.0000 0.5000 0.0000
5 F 0.5000 0.0000 0.0000

Calculated values
uncorrected formation energy = -0.906 eV per atom
space-group type = No. 123

***

# 5
## MnBe12 (GGA-PBEsol)

Data for an optimized crystal structure of MnBe12.

Cell lengths 5.4386, 5.4386, 5.4386 Å; angles 98.12, 98.12, 135.85 degrees
Atoms (fractional coordinates):
1 Mn 0.0000 0.0000 0.0000
2 Be 0.0000 0.0000 0.5000
3 Be 0.0000 0.3470 0.3470
4 Be 0.0000 0.5000 0.0000
5 Be 0.0000 0.6530 0.6530
6 Be 0.2909 0.5000 0.7909
7 Be 0.3470 0.0000 0.3470
8 Be 0.5000 0.0000 0.0000
9 Be 0.5000 0.2909 0.7909
10 Be 0.5000 0.5000 0.5000
11 Be 0.5000 0.7091 0.2091
12 Be 0.6530 0.0000 0.6530
13 Be 0.7091 0.5000 0.2091

Calculated values
energy of formation = -0.04 eV/atom
space-group type = No. 139

***

# 6
## Na3Ga (GGA-PBEsol)

Data for an optimized crystal structure of Na3Ga.

Cell lengths 6.7111, 6.7111, 5.4976 Å; angles 90.00, 90.00, 120.00 degrees
Atoms (fractional coordinates):
1 Na 0.1757 0.3513 0.2500
2 Na 0.1757 0.8243 0.2500
3 Na 0.3513 0.1757 0.7500
4 Na 0.6487 0.8243 0.2500
5 Na 0.8243 0.1757 0.7500
6 Na 0.8243 0.6487 0.7500
7 Ga 0.3333 0.6667 0.7500
8 Ga 0.6667 0.3333 0.2500

Calculated values
energy of formation = 0.05 eV/atom
space-group type = No. 194

***

# 7
## Ru2WSe (GGA-PBEsol)

Data for an optimized crystal structure of Ru2WSe.

Cell lengths 2.8777, 2.8777, 6.9458 Å; angles 90.00, 90.00, 90.00 degrees
Atoms (fractional coordinates):
1 Ru 0.0000 0.0000 0.2392
2 Ru 0.0000 0.0000 0.7608
3 W 0.5000 0.5000 0.5000
4 Se 0.5000 0.5000 0.0000

Calculated values
uncorrected formation energy = 0.103 eV per atom
space-group type = No. 123

***

# 8
## MnAsS2 (GGA-PBEsol)

Data for an optimized crystal structure of MnAsS2.

Cell lengths 7.9109, 7.9109, 7.9109 Å; angles 23.28, 23.28, 23.28 degrees
Atoms (fractional coordinates):
1 Mn 0.0000 0.0000 0.0000
2 As 0.5000 0.5000 0.5000
3 S 0.3905 0.3905 0.3905
4 S 0.6095 0.6095 0.6095

Calculated values
uncorrected formation energy = -0.295 eV per atom
space-group type = No. 166

***

# 9
## TiGa2O5 (GGA-PBEsol)

Data for an optimized crystal structure of TiGa2O5.

Cell lengths 5.2469, 5.2469, 9.9888 Å; angles 90.00, 90.00, 139.60 degrees
Atoms (fractional coordinates):
1 Ti 0.1788 0.8212 0.7500
2 Ti 0.8212 0.1788 0.2500
3 Ga 0.1373 0.8627 0.0580
4 Ga 0.1373 0.8627 0.4420
5 Ga 0.8627 0.1373 0.5580
6 Ga 0.8627 0.1373 0.9420
7 O 0.0456 0.9544 0.6191
8 O 0.0456 0.9544 0.8809
9 O 0.2502 0.7498 0.2500
10 O 0.3065 0.6935 0.5756
11 O 0.3065 0.6935 0.9244
12 O 0.6935 0.3065 0.0756
13 O 0.6935 0.3065 0.4244
14 O 0.7498 0.2502 0.7500
15 O 0.9544 0.0456 0.1191
16 O 0.9544 0.0456 0.3809

Calculated values
uncorrected formation energy = -2.300 eV per atom
distance to the lowest polymorph of the same formula = 0.0 kJ/mol of atoms
space-group type = No. 63

***

# 10
## Ca2CuBPb (GGA-PBEsol)

Data for an optimized crystal structure of Ca2CuBPb.

Cell lengths 5.8792, 5.8792, 4.3870 Å; angles 90.00, 90.00, 90.00 degrees
Atoms (fractional coordinates):
1 Ca 0.0000 0.5000 0.0000
2 Ca 0.5000 0.0000 0.0000
3 Cu 0.0000 0.0000 0.5000
4 B 0.5000 0.5000 0.5000
5 Pb 0.5000 0.5000 0.0000

Calculated values
energy of formation = 0.94 eV/atom
space-group type = No. 123

***

# 11
## Er10Ru10C19 (GGA-PBEsol)

Data for an optimized crystal structure of Er10Ru10C19.

Cell lengths 8.0828, 8.0828, 9.8883 Å; angles 109.23, 109.23, 52.41 degrees
Atoms (fractional coordinates):
1 Er 0.0000 0.0000 0.0000
2 Er 0.0673 0.0673 0.4016
3 Er 0.1798 0.1798 0.8504
4 Er 0.3083 0.3083 0.2350
5 Er 0.3212 0.3212 0.6260
6 Er 0.5028 0.5028 0.0159
7 Er 0.5717 0.5717 0.3732
8 Er 0.6981 0.6981 0.8792
9 Er 0.8128 0.8128 0.2525
10 Er 0.8446 0.8446 0.6259
11 Ru 0.1061 0.5966 0.0319
12 Ru 0.2284 0.6506 0.4794
13 Ru 0.3024 0.7235 0.7727
14 Ru 0.3850 0.9103 0.2199
15 Ru 0.4311 0.8597 0.6258
16 Ru 0.5966 0.1061 0.0319
17 Ru 0.6506 0.2284 0.4794
18 Ru 0.7235 0.3024 0.7727
19 Ru 0.8597 0.4311 0.6258
20 Ru 0.9103 0.3850 0.2199
21 C 0.0373 0.5362 0.7908
22 C 0.0382 0.5320 0.4192
23 C 0.1372 0.9293 0.6262
24 C 0.1418 0.6356 0.8326
25 C 0.1877 0.6874 0.2679
26 C 0.2369 0.7621 0.1914
27 C 0.3691 0.8641 0.9842
28 C 0.4538 0.9545 0.4610
29 C 0.4651 0.9691 0.0611
30 C 0.5320 0.0382 0.4192
31 C 0.5354 0.5354 0.6258
32 C 0.5362 0.0373 0.7908
33 C 0.6356 0.1418 0.8326
34 C 0.6874 0.1877 0.2679
35 C 0.7621 0.2369 0.1914
36 C 0.8641 0.3691 0.9842
37 C 0.9293 0.1372 0.6262
38 C 0.9545 0.4538 0.4610
39 C 0.9691 0.4651 0.0611

Calculated values
energy of formation = -0.32 eV/atom
space-group type = No. 8

***

# 12
## BeCd2Hg (GGA-PBEsol)

Data for an optimized crystal structure of BeCd2Hg.

Cell lengths 5.1650, 5.1650, 5.6211 Å; angles 115.34, 115.34, 33.28 degrees
Atoms (fractional coordinates):
1 Be 0.0000 0.0000 0.0000
2 Cd 0.5136 0.5136 0.4021
3 Cd 0.7237 0.7237 0.0679
4 Hg 0.3076 0.3076 0.6579

Calculated values
energy of formation = 0.23 eV/atom
distance to the lowest polymorph of the same formula = 0.0 kJ/mol of atoms
space-group type = No. 8

***

no.,E_tot (eV/atom),mass density (Mg/m³)
1,-5.289,8.33
2,-2.008,3.66
3,-6.445,9.26
4,-4.495,3.89
5,-4.488,2.61
6,-1.837,2.15
7,-9.398,13.42
8,-6.204,4.74
9,-7.456,4.98
10,-2.982,3.96
11,-8.894,10.15
12,-1.505,9.80